# meta-GGA SCAN In2AsSe, single point on PBEsol structure
data_In2AsSe
_cell_length_a 4.0343
_cell_length_b 4.0343
_cell_length_c 19.7528
_cell_angle_alpha 90.00
_cell_angle_beta 90.00
_cell_angle_gamma 120.00
_symmetry_space_group_name_H-M 'P 1'
_symmetry_Int_Tables_number 1
loop_
_symmetry_equiv_pos_as_xyz
'x,y,z'
loop_
_atom_site_label
_atom_site_type_symbol
_atom_site_fract_x
_atom_site_fract_y
_atom_site_fract_z
In1 In 0.0000 0.0000 0.2449
In2 In 0.0000 0.0000 0.7551
In3 In 0.3333 0.6667 0.4218
In4 In 0.3333 0.6667 0.9115
In5 In 0.6667 0.3333 0.0885
In6 In 0.6667 0.3333 0.5782
As1 As 0.0000 0.0000 0.5000
As2 As 0.3333 0.6667 0.1667
As3 As 0.6667 0.3333 0.8333
Se1 Se 0.0000 0.0000 0.0000
Se2 Se 0.3333 0.6667 0.6667
Se3 Se 0.6667 0.3333 0.3333
# DOS(E_F), states/eV per cell: 2.1
# Calculated total energy, Ry per atom: -1.991
# Relative energy among the computed polymorphs, kJ per mole of atoms: 0.0
# E_form (uncorrected), kJ/mol of atoms: -31.5
# Space group: R-3m



# meta-GGA SCAN Li7CoO4F2, single point on PBEsol structure
data_Li7CoO4F2
_cell_length_a 5.1849
_cell_length_b 5.6504
_cell_length_c 9.9606
_cell_angle_alpha 75.78
_cell_angle_beta 85.88
_cell_angle_gamma 66.12
_symmetry_space_group_name_H-M 'P 1'
_symmetry_Int_Tables_number 1
loop_
_symmetry_equiv_pos_as_xyz
'x,y,z'
loop_
_atom_site_label
_atom_site_type_symbol
_atom_site_fract_x
_atom_site_fract_y
_atom_site_fract_z
Li1 Li 0.0000 0.0000 0.0000
Li2 Li 0.0002 0.3494 0.4633
Li3 Li 0.0209 0.6420 0.2446
Li4 Li 0.0259 0.2804 0.1292
Li5 Li 0.0537 0.8319 0.6639
Li6 Li 0.4402 0.3763 0.6043
Li7 Li 0.4501 0.9810 0.8141
Li8 Li 0.5040 0.3389 0.9142
Li9 Li 0.5081 0.2470 0.3044
Li10 Li 0.5260 0.0065 0.1328
Li11 Li 0.5274 0.6288 0.0617
Li12 Li 0.5731 0.8382 0.5285
Li13 Li 0.9467 0.3020 0.7701
Li14 Li 0.9912 0.9837 0.3498
Co1 Co 0.4953 0.6645 0.3229
Co2 Co 0.9723 0.6504 0.8903
O1 O 0.1377 0.8840 0.8387
O2 O 0.2181 0.4400 0.7784
O3 O 0.2192 0.8909 0.1731
O4 O 0.2835 0.4906 0.4137
O5 O 0.6787 0.8811 0.3296
O6 O 0.6985 0.8893 0.9787
O7 O 0.8153 0.3810 0.2798
O8 O 0.8225 0.4024 0.9508
F1 F 0.1784 0.9788 0.5065
F2 F 0.3504 0.3661 0.1175
F3 F 0.6421 0.0044 0.6472
F4 F 0.7494 0.4692 0.6010
# Calculated total energy, Ry per atom: -0.506
# E_form (uncorrected), kJ/mol of atoms: -209.3
# Space group: P1



# meta-GGA SCAN Mn2IrAu, single point on PBEsol structure
data_Mn2IrAu
_cell_length_a 2.6832
_cell_length_b 2.6832
_cell_length_c 7.5346
_cell_angle_alpha 90.00
_cell_angle_beta 90.00
_cell_angle_gamma 90.00
_symmetry_space_group_name_H-M 'P 1'
_symmetry_Int_Tables_number 1
loop_
_symmetry_equiv_pos_as_xyz
'x,y,z'
loop_
_atom_site_label
_atom_site_type_symbol
_atom_site_fract_x
_atom_site_fract_y
_atom_site_fract_z
Mn1 Mn 0.0000 0.0000 0.0000
Mn2 Mn 0.5000 0.5000 0.2262
Ir1 Ir 0.5000 0.5000 0.7859
Au1 Au 0.0000 0.0000 0.4916
# DOS(E_F), states/eV per cell: 3.1
# Calculated total energy, Ry per atom: -3.254
# Relative energy among the computed polymorphs, kJ per mole of atoms: 31.5
# Formation enthalpy at 0 K, meV per atom: -75
# Space group: P4mm



# meta-GGA SCAN MgHPd2, single point on PBEsol structure
data_MgHPd2
_cell_length_a 6.1576
_cell_length_b 6.1576
_cell_length_c 5.2789
_cell_angle_alpha 90.00
_cell_angle_beta 90.00
_cell_angle_gamma 90.00
_symmetry_space_group_name_H-M 'P 1'
_symmetry_Int_Tables_number 1
loop_
_symmetry_equiv_pos_as_xyz
'x,y,z'
loop_
_atom_site_label
_atom_site_type_symbol
_atom_site_fract_x
_atom_site_fract_y
_atom_site_fract_z
Mg1 Mg 0.0000 0.0000 0.0000
Mg2 Mg 0.0000 0.5000 0.2500
Mg3 Mg 0.5000 0.0000 0.7500
Mg4 Mg 0.5000 0.5000 0.5000
H1 H 0.0000 0.0000 0.5000
H2 H 0.0000 0.5000 0.7500
H3 H 0.5000 0.0000 0.2500
H4 H 0.5000 0.5000 0.0000
Pd1 Pd 0.1386 0.2500 0.6250
Pd2 Pd 0.2500 0.6386 0.8750
Pd3 Pd 0.2500 0.8614 0.3750
Pd4 Pd 0.3614 0.2500 0.1250
Pd5 Pd 0.6386 0.7500 0.1250
Pd6 Pd 0.7500 0.1386 0.3750
Pd7 Pd 0.7500 0.3614 0.8750
Pd8 Pd 0.8614 0.7500 0.6250
# DOS(E_F), states/eV per cell: 5.3
# Calculated total energy, Ry per atom: -1.387
# Space group: I-42d



# meta-GGA SCAN Cr5W, single point on PBEsol structure
data_Cr5W
_cell_length_a 9.0782
_cell_length_b 2.8871
_cell_length_c 5.7707
_cell_angle_alpha 90.00
_cell_angle_beta 108.38
_cell_angle_gamma 90.00
_symmetry_space_group_name_H-M 'P 1'
_symmetry_Int_Tables_number 1
loop_
_symmetry_equiv_pos_as_xyz
'x,y,z'
loop_
_atom_site_label
_atom_site_type_symbol
_atom_site_fract_x
_atom_site_fract_y
_atom_site_fract_z
Cr1 Cr 0.0000 0.0000 0.0000
Cr2 Cr 0.1683 0.5000 0.3256
Cr3 Cr 0.1713 0.5000 0.8423
Cr4 Cr 0.3287 0.0000 0.1577
Cr5 Cr 0.3317 0.0000 0.6744
Cr6 Cr 0.5000 0.5000 0.0000
Cr7 Cr 0.6683 0.0000 0.3256
Cr8 Cr 0.6713 0.0000 0.8423
Cr9 Cr 0.8287 0.5000 0.1577
Cr10 Cr 0.8317 0.5000 0.6744
W1 W 0.0000 0.0000 0.5000
W2 W 0.5000 0.5000 0.5000
# DOS(E_F), states/eV per cell: 6.8
# Calculated total energy, Ry per atom: -1.976
# Formation enthalpy at 0 K, meV per atom: 51
# Space group: C2/m



# meta-GGA SCAN Be2GaTeAs, single point on PBEsol structure
data_Be2GaTeAs
_cell_length_a 4.2687
_cell_length_b 4.2687
_cell_length_c 5.6321
_cell_angle_alpha 90.00
_cell_angle_beta 90.00
_cell_angle_gamma 90.00
_symmetry_space_group_name_H-M 'P 1'
_symmetry_Int_Tables_number 1
loop_
_symmetry_equiv_pos_as_xyz
'x,y,z'
loop_
_atom_site_label
_atom_site_type_symbol
_atom_site_fract_x
_atom_site_fract_y
_atom_site_fract_z
Be1 Be 0.0000 0.5000 0.0000
Be2 Be 0.5000 0.0000 0.0000
Ga1 Ga 0.0000 0.0000 0.5000
Te1 Te 0.5000 0.5000 0.5000
As1 As 0.5000 0.5000 0.0000
# DOS(E_F), states/eV per cell: 2.0
# Calculated total energy, Ry per atom: -1.164
# E_form (uncorrected), kJ/mol of atoms: 63.4
# Space group: P4/mmm



# meta-GGA SCAN InHg3, single point on PBEsol structure
data_InHg3
_cell_length_a 11.8293
_cell_length_b 3.2495
_cell_length_c 5.5674
_cell_angle_alpha 90.00
_cell_angle_beta 117.05
_cell_angle_gamma 90.00
_symmetry_space_group_name_H-M 'P 1'
_symmetry_Int_Tables_number 1
loop_
_symmetry_equiv_pos_as_xyz
'x,y,z'
loop_
_atom_site_label
_atom_site_type_symbol
_atom_site_fract_x
_atom_site_fract_y
_atom_site_fract_z
In1 In 0.0000 0.0000 0.0000
In2 In 0.5000 0.5000 0.0000
Hg1 Hg 0.0000 0.5000 0.5042
Hg2 Hg 0.2495 0.5000 0.4264
Hg3 Hg 0.2507 0.0000 0.9278
Hg4 Hg 0.5000 0.0000 0.5042
Hg5 Hg 0.7495 0.0000 0.4264
Hg6 Hg 0.7507 0.5000 0.9278
# DOS(E_F), states/eV per cell: 2.0
# Calculated total energy, Ry per atom: -4.369
# Formation enthalpy at 0 K, meV per atom: 22
# Space group: Cm



# meta-GGA SCAN AlSb2Rh, single point on PBEsol structure
data_AlSb2Rh
_cell_length_a 4.3478
_cell_length_b 4.3478
_cell_length_c 8.2208
_cell_angle_alpha 90.00
_cell_angle_beta 90.00
_cell_angle_gamma 90.00
_symmetry_space_group_name_H-M 'P 1'
_symmetry_Int_Tables_number 1
loop_
_symmetry_equiv_pos_as_xyz
'x,y,z'
loop_
_atom_site_label
_atom_site_type_symbol
_atom_site_fract_x
_atom_site_fract_y
_atom_site_fract_z
Al1 Al 0.0000 0.0000 0.0000
Al2 Al 0.5000 0.5000 0.5000
Sb1 Sb 0.0000 0.0000 0.5000
Sb2 Sb 0.0000 0.5000 0.7500
Sb3 Sb 0.5000 0.0000 0.2500
Sb4 Sb 0.5000 0.5000 0.0000
Rh1 Rh 0.0000 0.5000 0.2500
Rh2 Rh 0.5000 0.0000 0.7500
# DOS(E_F), states/eV per cell: 3.7
# Calculated total energy, Ry per atom: -2.120
# E_form (uncorrected), kJ/mol of atoms: 16.2
# Space group: I-4m2



# meta-GGA SCAN Tc4Ag, single point on PBEsol structure
data_Tc4Ag
_cell_length_a 6.0428
_cell_length_b 6.0428
_cell_length_c 3.9294
_cell_angle_alpha 90.00
_cell_angle_beta 90.00
_cell_angle_gamma 90.00
_symmetry_space_group_name_H-M 'P 1'
_symmetry_Int_Tables_number 1
loop_
_symmetry_equiv_pos_as_xyz
'x,y,z'
loop_
_atom_site_label
_atom_site_type_symbol
_atom_site_fract_x
_atom_site_fract_y
_atom_site_fract_z
Tc1 Tc 0.0844 0.3022 0.0000
Tc2 Tc 0.1978 0.5844 0.5000
Tc3 Tc 0.3022 0.9156 0.0000
Tc4 Tc 0.4156 0.1978 0.5000
Tc5 Tc 0.5844 0.8022 0.5000
Tc6 Tc 0.6978 0.0844 0.0000
Tc7 Tc 0.8022 0.4156 0.5000
Tc8 Tc 0.9156 0.6978 0.0000
Ag1 Ag 0.0000 0.0000 0.5000
Ag2 Ag 0.5000 0.5000 0.0000
# DOS(E_F), states/eV per cell: 8.1
# Calculated total energy, Ry per atom: -2.501
# Formation enthalpy at 0 K, meV per atom: 293
# Space group: I4/m



# meta-GGA SCAN CaRh2Br, single point on PBEsol structure
data_CaRh2Br
_cell_length_a 3.3996
_cell_length_b 3.3996
_cell_length_c 6.0430
_cell_angle_alpha 90.00
_cell_angle_beta 90.00
_cell_angle_gamma 90.00
_symmetry_space_group_name_H-M 'P 1'
_symmetry_Int_Tables_number 1
loop_
_symmetry_equiv_pos_as_xyz
'x,y,z'
loop_
_atom_site_label
_atom_site_type_symbol
_atom_site_fract_x
_atom_site_fract_y
_atom_site_fract_z
Ca1 Ca 0.0000 0.0000 0.0000
Rh1 Rh 0.5000 0.5000 0.2737
Rh2 Rh 0.5000 0.5000 0.7263
Br1 Br 0.0000 0.0000 0.5000
# DOS(E_F), states/eV per cell: 3.2
# Calculated total energy, Ry per atom: -1.761
# Relative energy among the computed polymorphs, kJ per mole of atoms: 25.7
# E_form (uncorrected), kJ/mol of atoms: 19.3
# Space group: P4/mmm